1.
Material: LiScCr3
Method: DFT, PBE-GGA
State: optimized geometry

Electronic total energy ... -31.52 eV for the cell shown
Polymorph energy (0 for the lowest one) ... 0 meV/atom
SG ... Pm-3m, No. 221

Geometry as POSCAR:
```
LiScCr3
1.0
4.356 0.000 0.000
0.000 4.356 0.000
0.000 0.000 4.356
Sc Cr Li
1 3 1
Cartesian
2.178 2.178 2.178
0.000 2.178 0.000
0.000 0.000 2.178
2.178 0.000 0.000
0.000 0.000 0.000
```

2.
Material: NaBe2Si2
Method: DFT, PBE-GGA
State: optimized geometry

Electronic total energy ... -36.11 eV for the cell shown
Polymorph energy (0 for the lowest one) ... 247 meV/atom
SG ... P4/mbm, No. 127

Geometry as POSCAR:
```
NaBe2Si2
1.0
-1.495 -3.525 -6.187
6.362 -3.500 0.457
-1.129 -1.877 1.342
Na Si Be
2 4 4
Cartesian
0.000 0.000 0.000
2.434 -3.512 -2.865
3.376 -3.784 0.006
3.825 -6.205 -3.001
0.363 -5.118 -4.394
-0.087 -2.697 -1.386
4.973 -4.336 -1.881
2.722 -5.271 -5.082
-0.105 -2.689 -3.849
2.145 -1.753 -0.648
```

3.
Material: CaLa2Rh
Method: DFT, PBE-GGA
State: optimized geometry

Electronic total energy ... -41.62 eV for the cell shown
Polymorph energy (0 for the lowest one) ... 4 meV/atom
SG ... P6_3/mmc, No. 194

Geometry as POSCAR:
```
CaLa2Rh
1.0
4.139 0.000 0.000
-2.069 3.584 0.000
0.000 0.000 19.606
Ca La Rh
2 4 2
Cartesian
0.000 2.389 4.902
2.069 1.195 14.705
0.000 2.389 11.381
2.069 1.195 8.225
2.069 1.195 1.578
0.000 2.389 18.028
0.000 0.000 0.000
0.000 0.000 9.803
```

4.
Material: CsNa2MgS
Method: DFT, PBE-GGA
State: optimized geometry

Electronic total energy ... -10.09 eV for the cell shown
SG ... P4/mmm, No. 123

Geometry as POSCAR:
```
CsNa2MgS
1.0
-0.125 -0.838 -6.104
-2.702 -4.198 0.632
-5.198 3.293 -0.346
Cs Na S Mg
1 2 1 1
Cartesian
-4.012 -0.872 -2.909
-2.599 1.647 -0.173
-0.062 -0.419 -3.052
-1.351 -2.099 0.316
0.000 0.000 0.000
```

5.
Material: CoNi2Br
Method: DFT, PBE-GGA
State: optimized geometry

Electronic total energy ... -17.33 eV for the cell shown
Polymorph energy (0 for the lowest one) ... 365 meV/atom
SG ... Fm-3m, No. 225

Geometry as POSCAR:
```
CoNi2Br
1.0
0.000 2.998 2.998
2.998 0.000 2.998
2.998 2.998 0.000
Ni Co Br
2 1 1
Cartesian
1.499 1.499 1.499
4.497 4.497 4.497
0.000 0.000 0.000
2.998 2.998 2.998
```

6.
Material: TmPu2Ru2
Method: DFT, PBE-GGA
State: optimized geometry

Electronic total energy ... -103.26 eV for the cell shown
Polymorph energy (0 for the lowest one) ... 52 meV/atom
SG ... Cmcm, No. 63

Geometry as POSCAR:
```
TmPu2Ru2
1.0
-4.072 10.607 5.723
0.913 -10.828 -6.615
-0.925 -2.446 3.876
Tm Pu Ru
2 4 4
Cartesian
-0.036 -8.352 -3.869
-4.047 5.685 6.852
-4.048 8.899 6.060
-0.036 -11.565 -3.077
-3.100 4.822 3.714
-0.984 -7.489 -0.731
-1.019 -4.125 -1.437
-3.065 1.459 4.420
-2.034 0.239 1.076
-2.050 -2.906 1.907
```

7.
Material: LiTeBr2O
Method: DFT, PBE-GGA
State: optimized geometry

Electronic total energy ... -13.58 eV for the cell shown
SG ... P4/mmm, No. 123

Geometry as POSCAR:
```
LiTeBr2O
1.0
5.219 0.000 0.000
0.000 3.671 0.000
0.000 0.000 5.219
Te O Br Li
1 1 2 1
Cartesian
2.609 1.835 2.609
0.000 1.835 0.000
0.000 0.000 2.609
2.609 0.000 0.000
0.000 0.000 0.000
```

8.
Material: AcSm7Er4
Method: DFT, PBE-GGA
State: optimized geometry

Electronic total energy ... -52.44 eV for the cell shown
Polymorph energy (0 for the lowest one) ... 223 meV/atom
SG ... C2/m, No. 12

Geometry as POSCAR:
```
AcSm7Er4
1.0
-0.680 -1.043 -5.955
-3.578 -8.987 -1.125
-8.314 -0.867 -2.006
Ac Sm Er
1 7 4
Cartesian
0.000 0.000 0.000
-8.261 -9.303 -6.750
-4.311 -1.595 -2.336
-4.303 -5.146 -1.715
-8.269 -5.752 -7.372
-9.512 -7.575 -3.802
-0.340 -0.522 -2.978
-3.060 -3.323 -5.284
-6.185 -3.770 -4.849
-6.387 -7.128 -4.237
-2.996 -6.463 -4.741
-9.576 -4.435 -4.345
```